# 1
Material: MgBi2Sb2
Method: DFT, PBE
State: optimized geometry

The structure in CIF format:
```
data_MgBi2Sb2
_cell_length_a 8.3751
_cell_length_b 8.3751
_cell_length_c 4.3421
_cell_angle_alpha 90.00
_cell_angle_beta 90.00
_cell_angle_gamma 90.00
_space_group_name_H-M_alt 'P 4/m b m'
_space_group_IT_number 127
_space_group_name_Hall '-P 4 2ab'
loop_
_atom_site_label
_atom_site_fract_x
_atom_site_fract_y
_atom_site_fract_z
_atom_site_occupancy
Mg1 0.0000 0.0000 0.0000 1
Bi1 0.1538 0.3462 0.5000 1
Sb1 0.1628 0.6628 0.0000 1
```

=====

# 2
Material: Mg12Bi5Sb2
Method: DFT, PBE
State: optimized geometry

The structure in CIF format:
```
data_Mg12Bi5Sb2
_cell_length_a 15.0063
_cell_length_b 8.3704
_cell_length_c 9.4094
_cell_angle_alpha 90.00
_cell_angle_beta 104.58
_cell_angle_gamma 90.00
_space_group_name_H-M_alt 'C 1 2/m 1'
_space_group_IT_number 12
loop_
_space_group_symop_operation_xyz
'x,y,z'
'-x,-y,-z'
'-x,y,-z'
'x,-y,z'
'x+1/2,y+1/2,z'
'-x+1/2,-y+1/2,-z'
'-x+1/2,y+1/2,-z'
'x+1/2,-y+1/2,z'
loop_
_atom_site_label
_atom_site_fract_x
_atom_site_fract_y
_atom_site_fract_z
_atom_site_occupancy
Mg1 0.0062 0.0000 0.3267 1
Mg2 0.0881 0.5000 0.3407 1
Mg3 0.1580 0.2812 0.0861 1
Mg4 0.1861 0.1886 0.6109 1
Bi1 0.0000 0.5000 0.0000 1
Bi2 0.1743 0.0000 0.8939 1
Bi3 0.2048 0.0000 0.3286 1
Sb1 0.0000 0.2803 0.5000 1
```

=====

# 3
Material: Mg7Bi2Sb2
Method: DFT, PBE
State: optimized geometry

The structure in CIF format:
```
data_Mg7Bi2Sb2
_cell_length_a 9.3014
_cell_length_b 10.6582
_cell_length_c 6.6539
_cell_angle_alpha 90.00
_cell_angle_beta 90.00
_cell_angle_gamma 90.00
_space_group_name_H-M_alt 'C m m m'
_space_group_IT_number 65
_space_group_name_Hall '-C 2 2'
loop_
_atom_site_label
_atom_site_fract_x
_atom_site_fract_y
_atom_site_fract_z
_atom_site_occupancy
Mg1 0.0000 0.0000 0.0000 1
Mg2 0.0000 0.5000 0.2703 1
Mg3 0.2500 0.2500 0.2795 1
Bi1 0.0000 0.2742 0.0000 1
Sb1 0.2303 0.0000 0.5000 1
```

=====

# 4
Material: Mg14BiSb
Method: DFT, PBE
State: optimized geometry

The structure in CIF format:
```
data_Mg14BiSb
_cell_length_a 6.4018
_cell_length_b 6.4018
_cell_length_c 10.5844
_cell_angle_alpha 90.00
_cell_angle_beta 90.00
_cell_angle_gamma 120.00
_space_group_name_H-M_alt 'P -6 m 2'
_space_group_IT_number 187
_space_group_name_Hall 'P -6 2'
loop_
_atom_site_label
_atom_site_fract_x
_atom_site_fract_y
_atom_site_fract_z
_atom_site_occupancy
Mg1 0.0000 0.0000 0.2503 1
Mg2 0.3299 0.1649 0.0000 1
Mg3 0.3324 0.1662 0.5000 1
Mg4 0.5029 0.0058 0.2468 1
Bi1 0.3333 0.6667 0.5000 1
Sb1 0.3333 0.6667 0.0000 1
```

=====

# 5
Material: Mg6Bi2Sb
Method: DFT, PBE
State: optimized geometry

The structure in CIF format:
```
data_Mg6Bi2Sb
_cell_length_a 16.5247
_cell_length_b 6.8325
_cell_length_c 4.7137
_cell_angle_alpha 90.00
_cell_angle_beta 97.88
_cell_angle_gamma 90.00
_space_group_name_H-M_alt 'C 1 2/m 1'
_space_group_IT_number 12
loop_
_space_group_symop_operation_xyz
'x,y,z'
'-x,-y,-z'
'-x,y,-z'
'x,-y,z'
'x+1/2,y+1/2,z'
'-x+1/2,-y+1/2,-z'
'-x+1/2,y+1/2,-z'
'x+1/2,-y+1/2,z'
loop_
_atom_site_label
_atom_site_fract_x
_atom_site_fract_y
_atom_site_fract_z
_atom_site_occupancy
Mg1 0.0000 0.2296 0.0000 1
Mg2 0.1630 0.2766 0.6528 1
Bi1 0.1669 0.0000 0.1558 1
Sb1 0.0000 0.5000 0.5000 1
```

=====

# 6
Material: Mg6Bi3Sb
Method: DFT, PBE
State: optimized geometry

The structure in CIF format:
```
data_Mg6Bi3Sb
_cell_length_a 12.0008
_cell_length_b 14.1569
_cell_length_c 7.2045
_cell_angle_alpha 90.00
_cell_angle_beta 90.00
_cell_angle_gamma 90.00
_space_group_name_H-M_alt 'C m c 21'
_space_group_IT_number 36
loop_
_space_group_symop_operation_xyz
'x,y,z'
'-x,-y,z+1/2'
'-x,y,z'
'x,-y,z+1/2'
'x+1/2,y+1/2,z'
'-x+1/2,-y+1/2,z+1/2'
'-x+1/2,y+1/2,z'
'x+1/2,-y+1/2,z+1/2'
loop_
_atom_site_label
_atom_site_fract_x
_atom_site_fract_y
_atom_site_fract_z
_atom_site_occupancy
Mg1 0.0000 0.0225 0.0000 1
Mg2 0.0000 0.2079 0.3235 1
Mg3 0.1531 0.4825 0.4120 1
Mg4 0.1628 0.2521 0.8987 1
Bi1 0.0000 0.3907 0.1350 1
Bi2 0.2062 0.1107 0.1910 1
Sb1 0.0000 0.1541 0.6951 1
```

=====

# 7
Material: Mg14BiSb
Method: DFT, PBE
State: optimized geometry

The structure in CIF format:
```
data_Mg14BiSb
_cell_length_a 10.2947
_cell_length_b 6.7545
_cell_length_c 10.9538
_cell_angle_alpha 90.00
_cell_angle_beta 90.00
_cell_angle_gamma 90.00
_space_group_name_H-M_alt 'A m m 2'
_space_group_IT_number 38
loop_
_space_group_symop_operation_xyz
'x,y,z'
'-x,-y,z'
'-x,y,z'
'x,-y,z'
'x,y+1/2,z+1/2'
'-x,-y+1/2,z+1/2'
'-x,y+1/2,z+1/2'
'x,-y+1/2,z+1/2'
loop_
_atom_site_label
_atom_site_fract_x
_atom_site_fract_y
_atom_site_fract_z
_atom_site_occupancy
Mg1 0.0000 0.0000 0.0000 1
Mg2 0.0000 0.0000 0.4985 1
Mg3 0.0000 0.2486 0.2491 1
Mg4 0.2453 0.0000 0.8215 1
Mg5 0.2465 0.2447 0.5746 1
Mg6 0.2490 0.0000 0.3195 1
Mg7 0.5000 0.2434 0.7419 1
Bi1 0.5000 0.0000 0.9937 1
Sb1 0.5000 0.0000 0.4829 1
```

=====

# 8
Material: Mg3BiSb
Method: DFT, PBE
State: optimized geometry

The structure in CIF format:
```
data_Mg3BiSb
_cell_length_a 5.3417
_cell_length_b 5.3417
_cell_length_c 5.3417
_cell_angle_alpha 90.00
_cell_angle_beta 90.00
_cell_angle_gamma 90.00
_space_group_name_H-M_alt 'P m -3 m'
_space_group_IT_number 221
_space_group_name_Hall '-P 4 2 3'
loop_
_atom_site_label
_atom_site_fract_x
_atom_site_fract_y
_atom_site_fract_z
_atom_site_occupancy
Mg1 0.0000 0.0000 0.5000 1
Bi1 0.5000 0.5000 0.5000 1
Sb1 0.0000 0.0000 0.0000 1
```

=====

Number 1: uncorrected formation energy 0.098 eV per atom, E -3.4224 eV per atom. Number 2: uncorrected formation energy -0.135 eV per atom, E -2.5978 eV per atom. Number 3: uncorrected formation energy -0.128 eV per atom, E -2.5979 eV per atom. Number 4: uncorrected formation energy -0.046 eV per atom, E -1.9414 eV per atom. Number 5: uncorrected formation energy -0.107 eV per atom, E -2.4904 eV per atom. Number 6: uncorrected formation energy -0.203 eV per atom, E -2.7360 eV per atom. Number 7: uncorrected formation energy -0.027 eV per atom, E -1.9221 eV per atom. Number 8: uncorrected formation energy 0.116 eV per atom, E -2.4417 eV per atom.